ReTcHgW2 PBE-GGA relaxed; space group = P4/mmm; ρ = 13.379 g/cm3; E_form = 12.061 eV per formula unit; size of the total moment = 0.0 Bohr magnetons per cell
1.0
4.6210 0.0000 0.0000
0.0000 4.9550 0.0000
0.0000 0.0000 4.6210
Re Hg W Tc
1 1 2 1
Direct
0.5000 0.5000 0.5000
0.0000 0.5000 0.0000
0.0000 0.0000 0.5000
0.5000 0.0000 0.0000
0.0000 0.0000 0.0000